[1]
5
Lattice="4.960 0.000 0.000 0.000 4.960 0.000 0.000 0.000 4.725" Properties=species:S:1:pos:R:3 comment="MgCdMo2Pt PBE-GGA relaxed" n_ef_per_ev_cell=4.948 dft_energy_ev_per_atom=-4.09 total_magnetization_mub_per_cell=4.34 pbc="T T T"
Mg 0.000 0.000 0.000
Cd 0.000 0.000 2.362
Mo 0.000 2.480 2.362
Mo 2.480 0.000 2.362
Pt 2.480 2.480 0.000

=====

[2]
12
Lattice="3.783 -6.551 0.000 3.783 6.551 0.000 -2.525 0.000 7.132" Properties=species:S:1:pos:R:3 comment="Li3Pm2PaTe6 PBE-GGA relaxed" n_ef_per_ev_cell=8.712 dft_energy_ev_per_atom=-4.77 total_magnetization_mub_per_cell=1.65 pbc="T T T"
Li 0.000 0.000 0.000
Li 3.783 2.206 0.000
Li 3.783 -2.206 0.000
Pm 2.520 4.368 3.566
Pm 2.520 -4.368 3.566
Pa 2.520 0.000 3.566
Te 1.284 2.143 1.687
Te 0.048 0.000 5.434
Te 1.284 -2.143 1.687
Te 3.757 2.143 5.445
Te 4.993 0.000 1.698
Te 3.757 -2.143 5.445

=====

[3]
4
Lattice="3.865 -2.210 0.000 3.865 2.210 0.000 -2.519 0.000 7.328" Properties=species:S:1:pos:R:3 comment="Ca2ZnTe PBE-GGA relaxed" n_ef_per_ev_cell=3.162 dft_energy_ev_per_atom=-2.83 total_magnetization_mub_per_cell=0.01 pbc="T T T"
Ca 1.305 0.000 1.808
Ca 3.907 0.000 5.520
Zn 3.865 0.000 0.000
Te -1.259 0.000 3.664

=====

[4]
5
Lattice="5.491 0.000 0.000 0.000 5.491 0.000 0.000 0.000 5.491" Properties=species:S:1:pos:R:3 comment="MgPb3Se PBE-GGA relaxed" n_ef_per_ev_cell=2.691 dft_energy_ev_per_atom=-2.88 total_magnetization_mub_per_cell=0.00 pbc="T T T"
Mg 0.000 0.000 0.000
Pb 0.000 0.000 2.746
Pb 0.000 2.746 0.000
Pb 2.746 0.000 0.000
Se 2.746 2.746 2.746

=====

[5]
12
Lattice="4.030 -6.967 0.000 4.030 6.967 0.000 -2.652 0.000 7.523" Properties=species:S:1:pos:R:3 comment="Sr6Te3AsBr2 PBE-GGA relaxed" n_ef_per_ev_cell=3.855 dft_energy_ev_per_atom=-3.93 total_magnetization_mub_per_cell=0.00 pbc="T T T"
Sr -0.056 2.177 5.588
Sr 1.172 0.000 1.880
Sr -0.056 -2.177 5.588
Sr 5.464 2.177 1.935
Sr 4.237 0.000 5.643
Sr 5.464 -2.177 1.935
Te 4.030 4.525 0.000
Te 4.030 0.000 0.000
Te 4.030 -4.525 0.000
As -1.326 0.000 3.761
Br 2.704 2.295 3.761
Br 2.704 -2.295 3.761

=====

[6]
18
Lattice="7.738 -4.043 0.000 7.738 4.043 0.000 0.000 0.000 7.978" Properties=species:S:1:pos:R:3 comment="Pm5Te2Se2 PBE-GGA relaxed" n_ef_per_ev_cell=10.745 dft_energy_ev_per_atom=-5.46 total_magnetization_mub_per_cell=0.00 pbc="T T T"
Pm 0.000 0.000 0.000
Pm 5.770 2.779 5.237
Pm 5.770 1.264 1.248
Pm 9.706 2.779 5.237
Pm 9.706 1.264 1.248
Pm 7.738 0.000 3.989
Pm 5.770 -1.264 6.730
Pm 5.770 -2.779 2.741
Pm 9.706 -1.264 6.730
Pm 9.706 -2.779 2.741
Te 3.120 0.000 0.000
Te 4.618 0.000 3.989
Te 10.858 0.000 3.989
Te 12.355 0.000 0.000
Se 7.738 2.863 2.843
Se 7.738 1.180 6.832
Se 7.738 -1.180 1.146
Se 7.738 -2.863 5.135

=====

[7]
12
Lattice="4.570 0.000 0.000 0.000 4.570 0.000 0.000 0.000 8.189" Properties=species:S:1:pos:R:3 comment="ZnPO4 PBE-GGA relaxed" n_ef_per_ev_cell=6.772 dft_energy_ev_per_atom=-6.02 total_magnetization_mub_per_cell=2.03 pbc="T T T"
Zn 0.000 0.000 0.000
Zn 0.000 0.000 4.094
P 0.000 2.285 2.047
P 2.285 0.000 6.142
O 0.859 1.364 2.951
O 0.859 3.206 1.143
O 1.364 0.859 7.046
O 1.364 3.710 5.237
O 3.206 0.859 5.237
O 3.206 3.710 7.046
O 3.710 1.364 1.143
O 3.710 3.206 2.951

=====

[8]
4
Lattice="2.159 1.246 8.025 -2.159 1.246 8.025 0.000 -2.493 8.025" Properties=species:S:1:pos:R:3 comment="KCaRh2 PBE-GGA relaxed" n_ef_per_ev_cell=4.226 dft_energy_ev_per_atom=-4.37 total_magnetization_mub_per_cell=1.42 pbc="T T T"
K 0.000 0.000 0.000
Ca 0.000 0.000 4.096
Rh 0.000 0.000 10.417
Rh 0.000 0.000 18.452